Density functional theory data (PBE-GGA) for crystalline KGeTe2 at its relaxed geometry.

Lattice parameters (Å, degrees): 11.778 11.778 11.778 16.95 16.95 16.95
Fractional positions:
Ge (0.000, 0.000, 0.000)
Te (0.914, 0.914, 0.914)
Te (0.086, 0.086, 0.086)
K (0.500, 0.500, 0.500)

Properties
energy relative to the elements, uncorrected	0.095	eV per atom
DOS(E_F)	0.579	states/eV per atom
spin magnetization	0.0	μB/f.u.
crystal system	trigonal

Density functional theory data (PBE-GGA) for crystalline Li2MgTeS4 at its relaxed geometry.

Lattice parameters (Å, degrees): 7.531 7.531 7.523 119.96 119.96 89.91
Fractional positions:
Li (0.500, 0.000, 0.000)
Li (0.500, 0.000, 0.500)
Li (0.000, 0.000, 0.500)
Li (0.500, 0.500, 0.000)
Mg (0.000, 0.500, 0.000)
Mg (0.000, 0.500, 0.500)
Te (0.500, 0.500, 0.500)
Te (0.000, 0.000, 0.000)
S (0.241, 0.743, 0.992)
S (0.757, 0.259, 0.508)
S (0.243, 0.741, 0.492)
S (0.759, 0.257, 0.008)
S (0.751, 0.749, 0.002)
S (0.751, 0.749, 0.498)
S (0.249, 0.251, 0.502)
S (0.249, 0.251, 0.998)

Properties
energy relative to the elements, uncorrected	-0.834	eV per atom
spin magnetization	0.0	μB/f.u.
crystal system	orthorhombic

Density functional theory data (PBE-GGA) for crystalline Sc2Al3Pt at its relaxed geometry.

Lattice parameters (Å, degrees): 5.339 5.339 5.253 89.95 120.54 120.05
Fractional positions:
Sc (0.749, 0.375, 0.123)
Sc (0.251, 0.625, 0.877)
Al (0.500, 0.500, 0.500)
Al (0.000, 0.000, 0.500)
Al (0.500, 0.000, 0.500)
Pt (0.000, 0.000, 0.000)

Properties
DOS(E_F)	0.653	states/eV per atom
spin magnetization	0.0	μB/f.u.
energy relative to the elements	-0.82	eV/atom
crystal system	trigonal

Density functional theory data (PBE-GGA) for crystalline Mn2PBr at its relaxed geometry.

Lattice parameters (Å, degrees): 4.647 4.647 4.647 60.00 60.00 60.00
Last column: magnetic moment on the atom in μB.
Fractional positions:
Br (0.500, 0.500, 0.500)  0.08
Mn (0.000, 0.000, 0.000)  3.80
Mn (0.250, 0.250, 0.250)  3.90
P (0.750, 0.750, 0.750)  -0.06

Properties
energy relative to the elements, uncorrected	0.855	eV per atom
DOS(E_F)	1.333	states/eV per atom
offset from the most stable computed form	1029.6	meV/atom
spin magnetization	8.2	μB/f.u.
crystal system	cubic